An optimized crystal structure of PmAu4, computed with PBE.

Cell and atoms, written as POSCAR:
```
PmAu4
1.0
-0.4645 -0.6150 -3.9566
3.6797 -1.6363 -0.1764
-4.2333 -4.9543 3.3024
Pm Au
1 4
Direct
0.5000 0.0000 0.5000
0.7493 0.7507 0.0000
0.2507 0.2493 0.0000
0.8998 0.3998 0.2985
0.1002 0.6002 0.7015
```

Properties
Raw total energy, eV per atom: -4.03
Space-group type: C2/m (12)
Fermi-level density of states, states/eV per atom: 0.42
Relative energy among the computed polymorphs, meV/atom: 0.0
Energy relative to the elements, eV per atom: -0.456

An optimized crystal structure of PmAu, computed with PBE.

Cell and atoms, written as POSCAR:
```
PmAu
1.0
4.3160 0.0000 0.0000
2.1580 3.7378 0.0000
2.1580 1.2459 3.5240
Au Pm
1 1
Direct
0.5000 0.5000 0.5000
0.0000 0.0000 0.0000
```

Properties
Raw total energy, eV per atom: -4.68
Space-group type: Fm-3m (225)
Fermi-level density of states, states/eV per atom: 1.02
Energy relative to the elements, eV per atom: -0.670

An optimized crystal structure of PmAu11, computed with PBE.

Cell and atoms, written as POSCAR:
```
PmAu11
1.0
-0.7290 1.6735 7.2978
-2.9198 -6.6155 5.1026
7.1884 -1.5013 4.9395
Pm Au
2 22
Direct
0.5000 0.0000 0.0000
0.2500 0.5000 0.5000
0.4267 0.8241 0.4159
0.6667 0.1759 0.5841
0.0000 0.0000 0.0000
0.7500 0.5000 0.5000
0.3750 0.7500 0.7500
0.8750 0.7500 0.2500
0.8750 0.2500 0.7500
0.8750 0.2500 0.2500
0.4267 0.4159 0.8241
0.0008 0.6759 0.9159
0.5926 0.3241 0.0841
0.6667 0.5841 0.1759
0.7492 0.5841 0.8241
0.1574 0.4159 0.1759
0.0833 0.3241 0.9159
0.3233 0.6759 0.0841
0.3233 0.0841 0.6759
0.7492 0.8241 0.5841
0.1574 0.1759 0.4159
0.0833 0.9159 0.3241
0.0008 0.9159 0.6759
0.5926 0.0841 0.3241
```

Properties
Raw total energy, eV per atom: -3.56
Space-group type: I4_1/amd (141)
Fermi-level density of states, states/eV per atom: 0.30
Energy relative to the elements, eV per atom: -0.160

An optimized crystal structure of Pm2Au5, computed with PBE.

Cell and atoms, written as POSCAR:
```
Pm2Au5
1.0
-3.2640 5.2755 0.5340
-6.4183 -3.8008 -1.6819
3.8962 -1.9688 6.9631
Pm Au
4 10
Direct
0.3925 0.6992 0.7851
0.6075 0.3008 0.2149
0.8925 0.0859 0.7851
0.1075 0.9141 0.2149
0.1267 0.3358 0.2535
0.8733 0.6642 0.7465
0.6267 0.9177 0.2535
0.3733 0.0823 0.7465
0.4700 0.7200 0.4400
0.0300 0.2800 0.5600
0.5300 0.2800 0.5600
0.9700 0.7200 0.4400
0.7500 0.5000 0.0000
0.2500 0.5000 0.0000
```

Properties
Raw total energy, eV per atom: -4.39
Space-group type: Ibam (72)
Fermi-level density of states, states/eV per atom: 0.47
Energy relative to the elements, eV per atom: -0.694

An optimized crystal structure of PmAu, computed with PBE.

Cell and atoms, written as POSCAR:
```
PmAu
1.0
-2.8647 1.5366 2.0849
0.9588 -3.0380 3.5564
5.0452 2.9506 1.1603
Au Pm
2 2
Direct
0.9129 0.2500 0.8264
0.0871 0.7500 0.1736
0.6384 0.2500 0.2755
0.3617 0.7500 0.7245
```

Properties
Raw total energy, eV per atom: -4.84
Space-group type: P2_1/m (11)
Fermi-level density of states, states/eV per atom: 0.61
Energy relative to the elements, eV per atom: -0.824

An optimized crystal structure of Pm5Au6, computed with PBE.

Cell and atoms, written as POSCAR:
```
Pm5Au6
1.0
4.8773 0.0053 -1.5096
-0.8665 6.9232 -2.7767
0.0885 -0.4848 8.9186
Pm Au
5 6
Direct
0.0000 0.5000 0.0000
0.6736 0.6736 0.3471
0.3264 0.3264 0.6529
0.3572 0.8572 0.7145
0.6428 0.1428 0.2855
0.5000 0.7159 0.0000
0.5000 0.2841 0.0000
0.8199 0.0924 0.6396
0.8198 0.5473 0.6396
0.1801 0.9076 0.3604
0.1802 0.4527 0.3604
```

Properties
Raw total energy, eV per atom: -4.65
Space-group type: Immm (71)
Fermi-level density of states, states/eV per atom: 0.82
Energy relative to the elements, eV per atom: -0.701